# 1
VASP calculation (PBE-GGA) on an optimized crystal structure of Li4PrPt2.

a b c (Å): 4.1790 7.7253 7.7253
angles (deg): 90.00 90.00 90.00
Last column: nearest neighbours and their distance in Å.
Fractional positions:
Pt (0.5000, 0.2914, 0.2914)  6 Li 2.59-2.61
Pt (0.5000, 0.7086, 0.7086)  6 Li 2.59-2.61
Pt (0.0000, 0.2086, 0.7914)  6 Li 2.59-2.61
Pt (0.0000, 0.7914, 0.2086)  6 Li 2.59-2.61
Li (0.0000, 0.6535, 0.9031)  3 Pt 2.59-2.61, 6 Li 2.73-2.88
Li (0.5000, 0.5969, 0.1535)  3 Pt 2.59-2.61, 6 Li 2.73-2.88
Li (0.5000, 0.8465, 0.4031)  3 Pt 2.59-2.61, 6 Li 2.73-2.88
Li (0.0000, 0.0969, 0.3465)  3 Pt 2.59-2.61, 6 Li 2.73-2.88
Li (0.0000, 0.3465, 0.0969)  3 Pt 2.59-2.61, 6 Li 2.73-2.88
Li (0.0000, 0.9031, 0.6535)  3 Pt 2.59-2.61, 6 Li 2.73-2.88
Li (0.5000, 0.4031, 0.8465)  3 Pt 2.59-2.61, 6 Li 2.73-2.88
Li (0.5000, 0.1535, 0.5969)  3 Pt 2.59-2.61, 6 Li 2.73-2.88
Pr (0.0000, 0.5000, 0.5000)  6 Pt 3.09-3.18, 4 Li 3.33
Pr (0.5000, 0.0000, 0.0000)  6 Pt 3.09-3.18, 4 Li 3.33

Results
- Space-group type: P4_2/mnm
- Calculated density: 7442 kg/m³
- Final energy: -57.26 eV/cell
- Formation enthalpy at 0 K: -0.588 eV per atom

# 2
VASP calculation (PBE-GGA) on an optimized crystal structure of Li2Pr2Pt.

a b c (Å): 4.6921 4.9639 6.0286
angles (deg): 65.69 67.10 90.00
Last column: nearest neighbours and their distance in Å.
Fractional positions:
Li (0.7598, 0.5000, 0.0000)  2 Li 2.25-2.44
Li (0.2402, 0.5000, 0.0000)  2 Li 2.25-2.44
Pr (0.3153, 0.8153, 0.3693)  2 Pt 2.98, 6 Li 3.32-3.33
Pr (0.6847, 0.1847, 0.6307)  2 Pt 2.98, 6 Li 3.32-3.33
Pt (0.0000, 0.0000, 0.0000)  4 Li 2.73, 4 Pr 2.98

Results
- Space-group type: Immm
- Calculated density: 7043 kg/m³
- Final energy: -21.36 eV/cell
- Formation enthalpy at 0 K: -0.387 eV per atom

# 3
VASP calculation (PBE-GGA) on an optimized crystal structure of Li3PrPt3.

a b c (Å): 6.4302 6.4302 6.4302
angles (deg): 90.00 90.00 90.00
Last column: nearest neighbours and their distance in Å.
Fractional positions:
Li (0.2500, 0.5000, 0.0000)  4 Pt 2.27
Li (0.7500, 0.5000, 0.0000)  4 Pt 2.27
Li (0.5000, 0.0000, 0.2500)  4 Pt 2.27
Li (0.0000, 0.2500, 0.5000)  4 Pt 2.27
Li (0.0000, 0.7500, 0.5000)  4 Pt 2.27
Li (0.5000, 0.0000, 0.7500)  4 Pt 2.27
Pr (0.5000, 0.5000, 0.5000)  12 Li 3.59, 12 Pt 3.59
Pr (0.0000, 0.0000, 0.0000)  12 Li 3.59, 12 Pt 3.59
Pt (0.7500, 0.0000, 0.5000)  4 Li 2.27
Pt (0.0000, 0.5000, 0.2500)  4 Li 2.27
Pt (0.2500, 0.0000, 0.5000)  4 Li 2.27
Pt (0.5000, 0.2500, 0.0000)  4 Li 2.27
Pt (0.5000, 0.7500, 0.0000)  4 Li 2.27
Pt (0.0000, 0.5000, 0.7500)  4 Li 2.27

Results
- Space-group type: Pm-3n
- Calculated density: 9331 kg/m³
- Final energy: -58.61 eV/cell
- Formation enthalpy at 0 K: -0.095 eV per atom

# 4
VASP calculation (PBE-GGA) on an optimized crystal structure of Li4Pr3Pt4.

a b c (Å): 4.1078 7.5662 8.3495
angles (deg): 116.94 104.24 90.00
Last column: nearest neighbours and their distance in Å.
Fractional positions:
Pt (0.5000, 0.1951, 0.0000)  2 Li 2.66, 1 Pt 2.95
Pt (0.7798, 0.2798, 0.5597)  6 Li 2.59-2.78
Pt (0.5000, 0.8049, 0.0000)  2 Li 2.66, 1 Pt 2.95
Pt (0.2202, 0.7202, 0.4403)  6 Li 2.59-2.78
Li (0.3243, 0.5143, 0.6485)  4 Pt 2.59-2.78, 1 Li 2.88
Li (0.3243, 0.1342, 0.6485)  4 Pt 2.59-2.78, 1 Li 2.88
Li (0.6757, 0.4857, 0.3515)  4 Pt 2.59-2.78, 1 Li 2.88
Li (0.6757, 0.8658, 0.3515)  4 Pt 2.59-2.78, 1 Li 2.88
Pr (0.1255, 0.1255, 0.2511)  6 Pt 3.02-3.10, 6 Li 3.19-3.20
Pr (0.8745, 0.8745, 0.7489)  6 Pt 3.02-3.10, 6 Li 3.19-3.20
Pr (0.0000, 0.5000, 0.0000)  6 Pt 3.09-3.15

Results
- Space-group type: Immm
- Calculated density: 9192 kg/m³
- Final energy: -54.50 eV/cell
- Polymorph energy (0 for the lowest one): 0.00 eV per formula unit
- Formation enthalpy at 0 K: -0.758 eV per atom

# 5
VASP calculation (PBE-GGA) on an optimized crystal structure of LiPrPuPt.

a b c (Å): 5.0832 5.0832 5.0832
angles (deg): 60.00 60.00 60.00
Last column: nearest neighbours and their distance in Å.
Fractional positions:
Pr (0.5000, 0.5000, 0.5000)  4 Pt 3.11, 4 Li 3.11
Li (0.2500, 0.2500, 0.2500)  4 Pr 3.11, 4 Pu 3.11
Pt (0.7500, 0.7500, 0.7500)  4 Pu 3.11, 4 Pr 3.11
Pu (0.0000, 0.0000, 0.0000)  4 Li 3.11, 4 Pt 3.11

Results
- Space-group type: F-43m
- Calculated density: 10494 kg/m³
- Final energy: -28.57 eV/cell
- Formation enthalpy at 0 K: -0.376 eV per atom

# 6
VASP calculation (PBE-GGA) on an optimized crystal structure of LiPrPtRh.

a b c (Å): 4.7011 4.7011 4.7011
angles (deg): 60.00 60.00 60.00
Last column: nearest neighbours and their distance in Å.
Fractional positions:
Pt (0.2500, 0.2500, 0.2500)  4 Li 2.88, 4 Rh 2.88
Rh (0.0000, 0.0000, 0.0000)  4 Pt 2.88, 4 Pr 2.88
Pr (0.7500, 0.7500, 0.7500)  4 Rh 2.88, 4 Li 2.88
Li (0.5000, 0.5000, 0.5000)  4 Pr 2.88, 4 Pt 2.88

Results
- Space-group type: F-43m
- Calculated density: 10077 kg/m³
- Final energy: -21.92 eV/cell
- Polymorph energy (0 for the lowest one): 0.26 eV per formula unit
- Formation enthalpy at 0 K: -0.458 eV per atom

- The highest calculated density belongs to which entry?
  LiPrPuPt